DFT (GGA-PBE) results for HfZr4N after structural relaxation.

```
HfZr4N
1.0
7.145 -2.833 0.000
7.145 2.833 0.000
-1.530 0.000 5.947
Hf Zr N
2 8 2
direct
0.084 0.916 0.750
0.916 0.084 0.250
0.127 0.279 0.656
0.279 0.127 0.156
0.310 0.488 0.048
0.488 0.310 0.548
0.512 0.690 0.452
0.690 0.512 0.952
0.721 0.873 0.844
0.873 0.721 0.344
0.000 0.500 0.000
0.500 0.000 0.500
```

Values from the calculation:
The value obtained for the density of states at the Fermi level is 0.850 states/eV per atom. The uncorrected energy comes out at -112.0 eV/cell.

=====

DFT (GGA-PBE) results for HfZrN2 after structural relaxation.

```
HfZrN2
1.0
1.615 0.932 5.320
-1.615 0.932 5.320
0.000 -1.864 5.320
Hf Zr N
1 1 2
direct
0.000 0.000 0.000
0.500 0.500 0.500
0.255 0.255 0.255
0.745 0.745 0.745
```

Values from the calculation:
The value obtained for the density of states at the Fermi level is 0.327 states/eV per atom. The uncorrected energy comes out at -42.1 eV/cell.

=====

DFT (GGA-PBE) results for Hf3ZrN2 after structural relaxation.

```
Hf3ZrN2
1.0
6.501 0.000 0.000
-3.250 5.630 0.000
0.000 0.000 5.209
Hf Zr N
6 2 4
direct
0.168 0.336 0.240
0.168 0.832 0.240
0.336 0.168 0.760
0.664 0.832 0.240
0.832 0.168 0.760
0.832 0.664 0.760
0.333 0.667 0.740
0.667 0.333 0.260
0.000 0.000 0.000
0.000 0.500 0.000
0.500 0.000 0.000
0.500 0.500 0.000
```

Values from the calculation:
The value obtained for the density of states at the Fermi level is 0.972 states/eV per atom. The uncorrected energy comes out at -124.9 eV/cell.

=====

DFT (GGA-PBE) results for Hf3ZrN2 after structural relaxation.

```
Hf3ZrN2
1.0
5.927 -1.626 0.000
5.927 1.626 0.000
-5.385 0.000 9.887
Hf Zr N
6 2 4
direct
0.128 0.128 0.481
0.129 0.129 0.980
0.371 0.371 0.270
0.629 0.629 0.730
0.871 0.871 0.020
0.872 0.872 0.519
0.375 0.375 0.772
0.625 0.625 0.228
0.249 0.249 0.876
0.253 0.253 0.379
0.747 0.747 0.621
0.751 0.751 0.124
```

Values from the calculation:
The value obtained for the density of states at the Fermi level is 0.936 states/eV per atom. The uncorrected energy comes out at -124.9 eV/cell.

=====

DFT (GGA-PBE) results for Hf2ZrN after structural relaxation.

```
Hf2ZrN
1.0
2.981 0.000 0.000
0.000 2.981 0.000
0.000 0.000 7.633
Hf Zr N
2 1 1
direct
0.000 0.000 0.180
0.000 0.000 0.820
0.500 0.500 0.500
0.500 0.500 0.000
```

Values from the calculation:
The value obtained for the density of states at the Fermi level is 0.736 states/eV per atom. The uncorrected energy comes out at -37.6 eV/cell.

=====

DFT (GGA-PBE) results for HfZrN2 after structural relaxation.

```
HfZrN2
1.0
3.206 0.000 0.000
-1.603 2.776 0.000
0.000 0.000 10.804
Hf Zr N
2 2 4
direct
0.000 0.000 0.000
0.000 0.000 0.500
0.333 0.667 0.250
0.667 0.333 0.750
0.333 0.667 0.615
0.333 0.667 0.885
0.667 0.333 0.115
0.667 0.333 0.385
```

Values from the calculation:
The value obtained for the density of states at the Fermi level is 0.077 states/eV per atom. The uncorrected energy comes out at -84.5 eV/cell.